No. 1
This record from Alexandria describes crystalline Cs3V2BiO8 at its relaxed geometry. The functional is PBE with a Hubbard U.

Summary:
DFT total energy (eV per cell): -87.30

abc: 6.2637 6.2637 8.4468
angles: 90.00 90.00 120.00
Space group P-3m1 (No. 164)
Symmetry-distinct sites (fractional):
Cs: 0.0000 0.0000 0.0000
Cs: 0.3333 0.6667 0.7221
V: 0.3333 0.6667 0.2713
Bi: 0.0000 0.0000 0.5000
O: 0.1783 0.3565 0.3372
O: 0.3333 0.6667 0.0713

No. 2
This record from Alexandria describes crystalline CsVBiO4 at its relaxed geometry. The functional is PBE with a Hubbard U.

Summary:
DFT total energy (eV per cell): -86.36

abc: 5.533 5.937 8.329
angles: 90.00 99.92 90.00
Space group P2_1/m (No. 11)
Symmetry-distinct sites (fractional):
Cs: 0.198 0.250 0.102
V: 0.437 0.250 0.700
Bi: 0.171 0.750 0.521
O: 0.243 0.750 0.242
O: 0.302 0.006 0.761
O: 0.404 0.250 0.484

No. 3
This record from Alexandria describes crystalline Cs2BiWO6 at its relaxed geometry. The functional is PBE with a Hubbard U.

Summary:
DFT total energy (eV per cell): -58.56

abc: 5.974 5.978 7.235
angles: 113.43 114.37 90.01
Space group P1 (No. 1)
Symmetry-distinct sites (fractional):
Cs: 0.000 0.000 0.000
Cs: 0.496 0.503 0.993
Bi: 0.754 0.266 0.508
W: 0.241 0.732 0.482
O: 0.053 0.583 0.571
O: 0.089 0.581 0.179
O: 0.093 0.028 0.568
O: 0.473 0.029 0.568
O: 0.518 0.584 0.570
O: 0.585 0.102 0.170